1.
This record from Alexandria describes a relaxed structure of LaSmPa2As4. The functional is PBE.

a b c (Å): 5.9168 5.9168 7.2548
angles (deg): 114.07 114.07 90.00
With the nearest neighbours (Å) after each atom.
Sites, in units of the cell vectors:
As (0.2428, 0.2428, 0.4856)  3 Pa 2.88-2.96, 2 Sm 2.96, 1 La 3.05
La (0.5000, 0.5000, 0.0000)  6 As 2.96-3.05
As (0.7572, 0.7572, 0.5144)  3 Pa 2.88-2.96, 2 Sm 2.96, 1 La 3.05
As (0.0049, 0.5049, 0.0098)  3 Pa 2.91-2.96, 2 La 2.96, 1 Sm 3.02
Pa (0.2500, 0.7500, 0.5000)  6 As 2.91-2.96
Sm (0.7500, 0.2500, 0.5000)  6 As 2.96-3.02
As (0.4951, 0.9951, 0.9902)  3 Pa 2.91-2.96, 2 La 2.96, 1 Sm 3.02
Pa (0.0000, 0.0000, 0.0000)  6 As 2.88-2.96

## Properties
- magnetization (μB per atom) = 0.159
- E_form (eV/atom) = -1.27

2.
This record from Alexandria describes a relaxed structure of La2SmPaAs4. The functional is PBE.

a b c (Å): 4.2508 7.3372 7.3983
angles (deg): 109.35 90.00 90.00
With the nearest neighbours (Å) after each atom.
Sites, in units of the cell vectors:
As (0.0000, 0.7382, 0.2324)  2 Pa 2.92, 1 Sm 2.97, 3 La 3.04-3.10
La (0.0000, 0.5000, 0.5000)  6 As 3.04
Pa (0.5000, 0.5000, 0.0000)  6 As 2.90-2.92
La (0.5000, 0.0000, 0.5000)  6 As 3.10-3.11
As (0.5000, 0.7464, 0.7642)  1 Pa 2.90, 2 Sm 2.98, 3 La 3.04-3.11
As (0.0000, 0.2618, 0.7676)  2 Pa 2.92, 1 Sm 2.97, 3 La 3.04-3.10
As (0.5000, 0.2536, 0.2358)  1 Pa 2.90, 2 Sm 2.98, 3 La 3.04-3.11
Sm (0.0000, 0.0000, 0.0000)  6 As 2.97-2.98

## Properties
- magnetization (μB per atom) = 0.000
- E_form (eV/atom) = -1.44

3.
This record from Alexandria describes a relaxed structure of Sr3La2PaAs6. The functional is PBE.

a b c (Å): 7.6182 7.6182 7.5886
angles (deg): 99.68 99.68 120.06
With the nearest neighbours (Å) after each atom.
Sites, in units of the cell vectors:
As (0.6098, 0.9252, 0.7752)  1 Pa 2.89, 2 La 3.07, 2 Sr 3.16
La (0.6664, 0.3336, 0.0000)  6 As 3.07
As (0.2391, 0.2391, 0.7747)  1 Pa 2.89, 2 La 3.07, 2 Sr 3.19
As (0.0748, 0.3902, 0.2248)  1 Pa 2.89, 2 La 3.07, 2 Sr 3.16
Pa (0.0000, 0.0000, 0.0000)  6 As 2.89
Sr (0.1706, 0.8294, 0.5000)  6 As 3.16-3.28
As (0.3902, 0.0748, 0.2248)  1 Pa 2.89, 2 La 3.07, 2 Sr 3.16
Sr (0.8294, 0.1706, 0.5000)  6 As 3.16-3.28
As (0.9252, 0.6098, 0.7752)  1 Pa 2.89, 2 La 3.07, 2 Sr 3.16
Sr (0.5000, 0.5000, 0.5000)  6 As 3.16-3.33
La (0.3336, 0.6664, 0.0000)  6 As 3.07
As (0.7609, 0.7609, 0.2253)  1 Pa 2.89, 2 La 3.07, 2 Sr 3.19

## Properties
- magnetization (μB per atom) = 0.000
- E_form (eV/atom) = -1.27

4.
This record from Alexandria describes a relaxed structure of La3Tb2PaAs6. The functional is PBE.

a b c (Å): 7.3247 7.3247 7.3804
angles (deg): 99.51 99.51 120.00
With the nearest neighbours (Å) after each atom.
Sites, in units of the cell vectors:
As (0.9224, 0.5955, 0.7666)  1 Pa 2.89, 2 Tb 2.95-2.96, 3 La 3.05-3.09
La (0.8316, 0.1684, 0.5000)  6 As 3.05-3.09
As (0.7515, 0.7515, 0.2337)  1 Pa 2.89, 2 Tb 2.95, 3 La 3.06-3.11
As (0.2485, 0.2485, 0.7663)  1 Pa 2.89, 2 Tb 2.95, 3 La 3.06-3.11
Tb (0.3338, 0.6662, 0.0000)  6 As 2.95-2.96
La (0.5000, 0.5000, 0.5000)  6 As 3.05-3.11
La (0.1684, 0.8316, 0.5000)  6 As 3.05-3.09
As (0.0776, 0.4045, 0.2334)  1 Pa 2.89, 2 Tb 2.95-2.96, 3 La 3.05-3.09
Tb (0.6662, 0.3338, 0.0000)  6 As 2.95-2.96
As (0.4045, 0.0776, 0.2334)  1 Pa 2.89, 2 Tb 2.95-2.96, 3 La 3.05-3.09
Pa (0.0000, 0.0000, 0.0000)  6 As 2.89
As (0.5955, 0.9224, 0.7666)  1 Pa 2.89, 2 Tb 2.95-2.96, 3 La 3.05-3.09

## Properties
- magnetization (μB per atom) = 0.000
- E_form (eV/atom) = -1.49